(1)
The following is a DFT calculation (PBE) of a relaxed BeFeHgC2 crystal.

Properties
For the electronic total energy, the calculation gives -2.9956 eV per atom. The value obtained for the calculated density is 6.2 Mg/m³. The calculation puts the spin magnetization at 0.36 μB/f.u.

Cell lengths 4.205, 4.205, 4.379 Å; angles 90.00, 90.00, 90.00 degrees
Space group P4/mmm (No. 123)
Unique sites:
Be1 0.000 0.000 0.000 [1 per cell]
Fe1 0.500 0.500 0.000 [1 per cell]
Hg1 0.000 0.000 0.500 [1 per cell]
C1 0.000 0.500 0.500 [2 per cell]

---

(2)
The following is a DFT calculation (PBE) of a relaxed HoBe2Fe2C crystal.

Properties
For the electronic total energy, the calculation gives -6.6168 eV per atom. The value obtained for the calculated density is 7.3 Mg/m³. The calculation puts the spin magnetization at 0.00 μB/f.u.

Cell lengths 3.736, 3.736, 5.008 Å; angles 90.00, 90.00, 90.00 degrees
Space group P4/mmm (No. 123)
Unique sites:
Ho1 0.000 0.000 0.000 [1 per cell]
Be1 0.500 0.500 0.241 [2 per cell]
Fe1 0.000 0.500 0.500 [2 per cell]
C1 0.000 0.000 0.500 [1 per cell]

---

(3)
The following is a DFT calculation (PBE) of a relaxed Be2FeCI crystal.

Properties
For the electronic total energy, the calculation gives -2.3907 eV per atom. Its uncorrected formation energy is 14.7 eV/f.u. The value obtained for the calculated density is 3.6 Mg/m³. The calculation puts the spin magnetization at 0.91 μB/f.u.

Cell lengths 4.599, 4.599, 4.580 Å; angles 90.00, 90.00, 90.00 degrees
Space group P4/mmm (No. 123)
Unique sites:
Be1 0.000 0.500 0.000 [2 per cell]
Fe1 0.000 0.000 0.500 [1 per cell]
C1 0.500 0.500 0.500 [1 per cell]
I1 0.000 0.000 0.000 [1 per cell]

---

(4)
The following is a DFT calculation (PBE) of a relaxed BeInFe2C crystal.

Properties
For the electronic total energy, the calculation gives -6.3579 eV per atom. The value obtained for the calculated density is 7.5 Mg/m³. The calculation puts the spin magnetization at 0.00 μB/f.u.

Cell lengths 3.858, 3.858, 3.677 Å; angles 90.00, 90.00, 90.00 degrees
Space group P4/mmm (No. 123)
Unique sites:
Be1 0.000 0.000 0.000 [1 per cell]
In1 0.500 0.500 0.000 [1 per cell]
Fe1 0.000 0.500 0.500 [2 per cell]
C1 0.000 0.000 0.500 [1 per cell]

---

(5)
The following is a DFT calculation (PBE) of a relaxed MgBeFe2C crystal.

Properties
For the electronic total energy, the calculation gives -6.2180 eV per atom. The value obtained for the calculated density is 5.0 Mg/m³. The calculation puts the spin magnetization at 1.60 μB/f.u.

Cell lengths 3.799, 3.799, 3.620 Å; angles 90.00, 90.00, 90.00 degrees
Space group P4/mmm (No. 123)
Unique sites:
Mg1 0.000 0.000 0.000 [1 per cell]
Be1 0.500 0.500 0.000 [1 per cell]
Fe1 0.000 0.500 0.500 [2 per cell]
C1 0.500 0.500 0.500 [1 per cell]

---

(6)
The following is a DFT calculation (PBE) of a relaxed MnBeFeC crystal.

Properties
For the electronic total energy, the calculation gives -7.1629 eV per atom. The value obtained for the calculated density is 6.7 Mg/m³. The calculation puts the spin magnetization at 2.16 μB/f.u.

Cell lengths 5.070, 5.070, 5.070 Å; angles 90.00, 90.00, 90.00 degrees
Space group F-43m (No. 216)
Unique sites:
Mn1 0.000 0.000 0.000 [4 per cell]
Be1 0.250 0.250 0.750 [4 per cell]
Fe1 0.000 0.000 0.500 [4 per cell]
C1 0.250 0.250 0.250 [4 per cell]

---

(7)
The following is a DFT calculation (PBE) of a relaxed BeFeC2N crystal.

Properties
For the electronic total energy, the calculation gives -5.6482 eV per atom. Its uncorrected formation energy is 10.7 eV/f.u. The value obtained for the calculated density is 3.0 Mg/m³. The calculation puts the spin magnetization at 4.58 μB/f.u.

Cell lengths 3.050, 3.050, 6.113 Å; angles 90.00, 90.00, 90.00 degrees
Space group P4/mmm (No. 123)
Unique sites:
Be1 0.000 0.000 0.000 [1 per cell]
Fe1 0.000 0.000 0.500 [1 per cell]
C1 0.000 0.500 0.000 [2 per cell]
N1 0.500 0.500 0.500 [1 per cell]

---

(8)
The following is a DFT calculation (PBE) of a relaxed NdBe2Fe2C crystal.

Properties
For the electronic total energy, the calculation gives -6.5660 eV per atom. The value obtained for the calculated density is 6.3 Mg/m³. The calculation puts the spin magnetization at 0.00 μB/f.u.

Cell lengths 3.757, 3.757, 5.298 Å; angles 90.00, 90.00, 90.00 degrees
Space group P4/mmm (No. 123)
Unique sites:
Nd1 0.000 0.000 0.000 [1 per cell]
Be1 0.500 0.500 0.263 [2 per cell]
Fe1 0.000 0.500 0.500 [2 per cell]
C1 0.000 0.000 0.500 [1 per cell]

---

(9)
The following is a DFT calculation (PBE) of a relaxed BeFeNi2C crystal.

Properties
For the electronic total energy, the calculation gives -6.5437 eV per atom. The value obtained for the calculated density is 6.5 Mg/m³. The calculation puts the spin magnetization at 0.01 μB/f.u.

Cell lengths 3.685, 3.685, 3.666 Å; angles 90.00, 90.00, 90.00 degrees
Space group P4/mmm (No. 123)
Unique sites:
Be1 0.000 0.000 0.000 [1 per cell]
Fe1 0.500 0.500 0.000 [1 per cell]
Ni1 0.000 0.500 0.500 [2 per cell]
C1 0.500 0.500 0.500 [1 per cell]

---

(10)
The following is a DFT calculation (PBE) of a relaxed PaBeFeC crystal.

Properties
For the electronic total energy, the calculation gives -7.9888 eV per atom. The value obtained for the calculated density is 9.7 Mg/m³. The calculation puts the spin magnetization at 1.32 μB/f.u.

Cell lengths 3.563, 3.563, 8.322 Å; angles 90.00, 90.00, 90.00 degrees
Space group P4/nmm (No. 129, origin choice 2)
Unique sites:
Pa1 0.250 0.250 0.163 [2 per cell]
Be1 0.250 0.250 0.669 [2 per cell]
Fe1 0.250 0.750 0.500 [2 per cell]
C1 0.250 0.250 0.878 [2 per cell]

---

(11)
The following is a DFT calculation (PBE) of a relaxed PmBe2Fe2C crystal.

Properties
For the electronic total energy, the calculation gives -6.5810 eV per atom. The value obtained for the calculated density is 6.5 Mg/m³. The calculation puts the spin magnetization at 0.00 μB/f.u.

Cell lengths 3.754, 3.754, 5.236 Å; angles 90.00, 90.00, 90.00 degrees
Space group P4/mmm (No. 123)
Unique sites:
Pm1 0.000 0.000 0.000 [1 per cell]
Be1 0.500 0.500 0.258 [2 per cell]
Fe1 0.000 0.500 0.500 [2 per cell]
C1 0.000 0.000 0.500 [1 per cell]

---

(12)
The following is a DFT calculation (PBE) of a relaxed BeFePtC2 crystal.

Properties
For the electronic total energy, the calculation gives -5.2313 eV per atom. The value obtained for the calculated density is 7.2 Mg/m³. The calculation puts the spin magnetization at 0.07 μB/f.u.

Cell lengths 3.915, 3.915, 4.287 Å; angles 90.00, 90.00, 90.00 degrees
Space group P4/mmm (No. 123)
Unique sites:
Be1 0.000 0.000 0.000 [1 per cell]
Fe1 0.500 0.500 0.000 [1 per cell]
Pt1 0.000 0.000 0.500 [1 per cell]
C1 0.000 0.500 0.500 [2 per cell]